[1]
This record from the Alexandria database describes crystalline HgSbSe2 at its relaxed geometry. The functional is PBEsol.

E ... -24.45 eV/cell
Density of states at the Fermi level ... 2.466 states/eV/f.u.

abc: 3.782 4.859 10.218
angles: 90.00 90.00 90.00
Space group Immm (No. 71)
One atom of each set of equivalent atoms:
Hg (0.000, 0.000, 0.000) [2 per cell]
Sb (0.000, 0.000, 0.500) [2 per cell]
Se (0.000, 0.500, 0.209) [4 per cell]

[2]
This record from the Alexandria database describes crystalline MnTlSe at its relaxed geometry. The functional is PBEsol.

E ... -16.11 eV/cell
Density of states at the Fermi level ... 1.829 states/eV/f.u.

abc: 3.8696 3.8696 5.3893
angles: 90.00 90.00 120.00
Space group P3m1 (No. 156)
One atom of each set of equivalent atoms:
Mn (0.0000, 0.0000, 0.0000) [1 per cell]
Tl (0.6667, 0.3333, 0.3561) [1 per cell]
Se (0.3333, 0.6667, 0.8082) [1 per cell]

[3]
This record from the Alexandria database describes crystalline AlHg3Sb at its relaxed geometry. The functional is PBEsol.

E ... -8.54 eV/cell
Density of states at the Fermi level ... 3.308 states/eV/f.u.

abc: 5.099 5.099 5.099
angles: 90.00 90.00 90.00
Space group Pm-3m (No. 221)
One atom of each set of equivalent atoms:
Al (0.000, 0.000, 0.000) [1 per cell]
Hg (0.000, 0.000, 0.500) [3 per cell]
Sb (0.500, 0.500, 0.500) [1 per cell]

[4]
This record from the Alexandria database describes crystalline MnInSb2 at its relaxed geometry. The functional is PBEsol.

E ... -40.90 eV/cell
Density of states at the Fermi level ... 2.286 states/eV/f.u.

abc: 4.701 4.701 8.267
angles: 90.00 90.00 90.00
Space group I4/mmm (No. 139)
One atom of each set of equivalent atoms:
Mn (0.000, 0.000, 0.000) [2 per cell]
In (0.000, 0.000, 0.500) [2 per cell]
Sb (0.000, 0.500, 0.250) [4 per cell]

[5]
This record from the Alexandria database describes crystalline Zr3InRu at its relaxed geometry. The functional is PBEsol.

E ... -39.60 eV/cell
Density of states at the Fermi level ... 7.044 states/eV/f.u.

abc: 4.930 4.930 4.930
angles: 90.00 90.00 90.00
Space group Pm-3m (No. 221)
One atom of each set of equivalent atoms:
Zr (0.000, 0.000, 0.500) [3 per cell]
In (0.500, 0.500, 0.500) [1 per cell]
Ru (0.000, 0.000, 0.000) [1 per cell]

[6]
This record from the Alexandria database describes crystalline NiPt2Br at its relaxed geometry. The functional is PBEsol.

E ... -77.80 eV/cell
Density of states at the Fermi level ... 4.474 states/eV/f.u.

abc: 6.246 6.246 6.246
angles: 90.00 90.00 90.00
Space group F-43m (No. 216)
One atom of each set of equivalent atoms:
Ni (0.000, 0.000, 0.000) [4 per cell]
Pt (0.000, 0.000, 0.500) [4 per cell]
Pt (0.250, 0.250, 0.250) [4 per cell]
Br (0.250, 0.250, 0.750) [4 per cell]

[7]
This record from the Alexandria database describes crystalline BeReCl2 at its relaxed geometry. The functional is PBEsol.

E ... -38.95 eV/cell
Density of states at the Fermi level ... 1.985 states/eV/f.u.

abc: 2.842 7.036 8.632
angles: 90.00 90.00 90.00
Space group Imm2 (No. 44)
One atom of each set of equivalent atoms:
Be (0.000, 0.000, 0.000) [2 per cell]
Re (0.000, 0.500, 0.265) [2 per cell]
Cl (0.000, 0.000, 0.551) [2 per cell]
Cl (0.000, 0.500, 0.662) [2 per cell]

[8]
This record from the Alexandria database describes crystalline In2AgHg at its relaxed geometry. The functional is PBEsol.

E ... -29.59 eV/cell
Density of states at the Fermi level ... 1.301 states/eV/f.u.

abc: 3.3492 3.3492 26.9398
angles: 90.00 90.00 120.00
Space group R-3m (No. 166, hexagonal axes)
One atom of each set of equivalent atoms:
In (0.0000, 0.0000, 0.2459) [6 per cell]
Ag (0.0000, 0.0000, 0.5000) [3 per cell]
Hg (0.0000, 0.0000, 0.0000) [3 per cell]

[9]
This record from the Alexandria database describes crystalline K2BaBe at its relaxed geometry. The functional is PBEsol.

E ... -5.89 eV/cell
Density of states at the Fermi level ... 4.493 states/eV/f.u.

abc: 5.095 5.095 6.593
angles: 90.00 90.00 90.00
Space group P4/mmm (No. 123)
One atom of each set of equivalent atoms:
K (0.000, 0.500, 0.000) [2 per cell]
Ba (0.000, 0.000, 0.500) [1 per cell]
Be (0.500, 0.500, 0.500) [1 per cell]

[10]
This record from the Alexandria database describes crystalline MgIn2Ag at its relaxed geometry. The functional is PBEsol.

E ... -11.25 eV/cell
Density of states at the Fermi level ... 1.472 states/eV/f.u.

abc: 3.309 4.167 6.117
angles: 90.00 90.00 90.00
Space group Pmm2 (No. 25)
One atom of each set of equivalent atoms:
Mg (0.000, 0.000, 0.000) [1 per cell]
In (0.000, 0.000, 0.476) [1 per cell]
In (0.500, 0.500, 0.744) [1 per cell]
Ag (0.500, 0.500, 0.225) [1 per cell]

[11]
This record from the Alexandria database describes crystalline AlOsW2 at its relaxed geometry. The functional is PBEsol.

E ... -42.82 eV/cell
Density of states at the Fermi level ... 3.895 states/eV/f.u.

abc: 4.588 4.588 2.835
angles: 90.00 90.00 90.00
Space group P4/mmm (No. 123)
One atom of each set of equivalent atoms:
Al (0.000, 0.000, 0.000) [1 per cell]
Os (0.500, 0.500, 0.000) [1 per cell]
W (0.000, 0.500, 0.500) [2 per cell]

[12]
This record from the Alexandria database describes crystalline Mg2SbPb at its relaxed geometry. The functional is PBEsol.

E ... -49.47 eV/cell
Density of states at the Fermi level ... 1.940 states/eV/f.u.

abc: 7.313 7.313 7.313
angles: 90.00 90.00 90.00
Space group Fm-3m (No. 225)
One atom of each set of equivalent atoms:
Mg (0.250, 0.250, 0.250) [8 per cell]
Sb (0.000, 0.000, 0.000) [4 per cell]
Pb (0.000, 0.000, 0.500) [4 per cell]

[13]
This record from the Alexandria database describes crystalline Zr4TiPb5O15 at its relaxed geometry. The functional is PBEsol.

E ... -409.93 eV/cell
Density of states at the Fermi level ... 0.000 states/eV/f.u.

abc: 5.927 5.835 20.480
angles: 90.00 90.75 90.00
Space group Cm (No. 8)
One atom of each set of equivalent atoms:
Zr (0.000, 0.000, 0.000) [2 per cell]
Zr (0.000, 0.000, 0.203) [2 per cell]
Zr (0.001, 0.000, 0.407) [2 per cell]
Zr (0.003, 0.000, 0.611) [2 per cell]
Ti (0.477, 0.500, 0.805) [2 per cell]
Pb (0.447, 0.000, 0.110) [2 per cell]
Pb (0.447, 0.000, 0.314) [2 per cell]
Pb (0.449, 0.000, 0.518) [2 per cell]
Pb (0.449, 0.000, 0.906) [2 per cell]
Pb (0.452, 0.000, 0.721) [2 per cell]
O (0.041, 0.000, 0.099) [2 per cell]
O (0.043, 0.000, 0.303) [2 per cell]
O (0.043, 0.000, 0.895) [2 per cell]
O (0.044, 0.000, 0.506) [2 per cell]
O (0.047, 0.000, 0.710) [2 per cell]
O (0.279, 0.237, 0.992) [4 per cell]
O (0.280, 0.236, 0.196) [4 per cell]
O (0.281, 0.236, 0.400) [4 per cell]
O (0.282, 0.236, 0.603) [4 per cell]
O (0.286, 0.251, 0.801) [4 per cell]

[14]
This record from the Alexandria database describes crystalline K2CuSb at its relaxed geometry. The functional is PBEsol.

E ... -29.30 eV/cell
Density of states at the Fermi level ... 1.668 states/eV/f.u.

abc: 3.6454 3.6454 31.2617
angles: 90.00 90.00 120.00
Space group R-3m (No. 166, hexagonal axes)
One atom of each set of equivalent atoms:
K (0.0000, 0.0000, 0.2434) [6 per cell]
Cu (0.0000, 0.0000, 0.5000) [3 per cell]
Sb (0.0000, 0.0000, 0.0000) [3 per cell]

[15]
This record from the Alexandria database describes crystalline YHRh3 at its relaxed geometry. The functional is PBEsol.

E ... -37.04 eV/cell
Density of states at the Fermi level ... 3.630 states/eV/f.u.

abc: 4.015 4.015 4.015
angles: 90.00 90.00 90.00
Space group Pm-3m (No. 221)
One atom of each set of equivalent atoms:
Y (0.000, 0.000, 0.000) [1 per cell]
H (0.500, 0.500, 0.500) [1 per cell]
Rh (0.000, 0.500, 0.500) [3 per cell]

[16]
This record from the Alexandria database describes crystalline CdSi2Ge2 at its relaxed geometry. The functional is PBEsol.

E ... -42.85 eV/cell
Density of states at the Fermi level ... 1.848 states/eV/f.u.

abc: 4.625 4.625 8.891
angles: 90.00 90.00 90.00
Space group I4/mmm (No. 139)
One atom of each set of equivalent atoms:
Cd (0.000, 0.000, 0.000) [2 per cell]
Si (0.000, 0.000, 0.368) [4 per cell]
Ge (0.000, 0.500, 0.250) [4 per cell]

[17]
This record from the Alexandria database describes crystalline Co2NiW at its relaxed geometry. The functional is PBEsol.

E ... -71.52 eV/cell
Density of states at the Fermi level ... 5.225 states/eV/f.u.

abc: 3.602 3.602 6.978
angles: 90.00 90.00 90.00
Space group I4/mmm (No. 139)
One atom of each set of equivalent atoms:
Co (0.000, 0.500, 0.250) [4 per cell]
Ni (0.000, 0.000, 0.000) [2 per cell]
W (0.000, 0.000, 0.500) [2 per cell]

[18]
This record from the Alexandria database describes crystalline CeHo3S6 at its relaxed geometry. The functional is PBEsol.

E ... -137.45 eV/cell
Density of states at the Fermi level ... 7.159 states/eV/f.u.

abc: 10.872 3.899 11.150
angles: 90.00 108.72 90.00
Space group P2_1/m (No. 11)
One atom of each set of equivalent atoms:
Ce (0.049, 0.250, 0.194) [2 per cell]
Ho (0.159, 0.250, 0.585) [2 per cell]
Ho (0.320, 0.750, 0.999) [2 per cell]
Ho (0.439, 0.250, 0.333) [2 per cell]
S (0.084, 0.750, 0.404) [2 per cell]
S (0.118, 0.250, 0.964) [2 per cell]
S (0.193, 0.750, 0.751) [2 per cell]
S (0.262, 0.750, 0.227) [2 per cell]
S (0.394, 0.250, 0.559) [2 per cell]
S (0.482, 0.250, 0.114) [2 per cell]

[19]
This record from the Alexandria database describes crystalline LaInH2Pd at its relaxed geometry. The functional is PBEsol.

E ... -19.77 eV/cell
Density of states at the Fermi level ... 1.732 states/eV/f.u.

abc: 4.075 4.075 6.534
angles: 90.00 90.00 90.00
Space group P4/mmm (No. 123)
One atom of each set of equivalent atoms:
La (0.000, 0.000, 0.000) [1 per cell]
In (0.000, 0.000, 0.500) [1 per cell]
H (0.000, 0.500, 0.000) [2 per cell]
Pd (0.500, 0.500, 0.500) [1 per cell]

[20]
This record from the Alexandria database describes crystalline Cr2IrRh at its relaxed geometry. The functional is PBEsol.

E ... -77.86 eV/cell
Density of states at the Fermi level ... 3.271 states/eV/f.u.

abc: 3.714 3.714 7.273
angles: 90.00 90.00 90.00
Space group I4/mmm (No. 139)
One atom of each set of equivalent atoms:
Cr (0.000, 0.500, 0.250) [4 per cell]
Ir (0.000, 0.000, 0.000) [2 per cell]
Rh (0.000, 0.000, 0.500) [2 per cell]

[21]
This record from the Alexandria database describes crystalline AlOsPt2 at its relaxed geometry. The functional is PBEsol.

E ... -93.97 eV/cell
Density of states at the Fermi level ... 2.609 states/eV/f.u.

abc: 2.7850 2.7850 25.5928
angles: 90.00 90.00 120.00
Space group R-3m (No. 166, hexagonal axes)
One atom of each set of equivalent atoms:
Al (0.0000, 0.0000, 0.0000) [3 per cell]
Os (0.0000, 0.0000, 0.5000) [3 per cell]
Pt (0.0000, 0.0000, 0.2541) [6 per cell]

[22]
This record from the Alexandria database describes crystalline K3TiMn at its relaxed geometry. The functional is PBEsol.

E ... -13.57 eV/cell
Density of states at the Fermi level ... 16.404 states/eV/f.u.

abc: 6.334 6.334 6.334
angles: 90.00 90.00 90.00
Space group Pm-3m (No. 221)
One atom of each set of equivalent atoms:
K (0.000, 0.000, 0.500) [3 per cell]
Ti (0.500, 0.500, 0.500) [1 per cell]
Mn (0.000, 0.000, 0.000) [1 per cell]

[23]
This record from the Alexandria database describes crystalline Ce4ZrO10 at its relaxed geometry. The functional is PBEsol.

E ... -279.41 eV/cell
Density of states at the Fermi level ... 0.000 states/eV/f.u.

abc: 3.764 3.764 26.730
angles: 90.00 90.00 90.00
Space group I4/mmm (No. 139)
One atom of each set of equivalent atoms:
Ce (0.000, 0.000, 0.097) [4 per cell]
Ce (0.000, 0.000, 0.301) [4 per cell]
Zr (0.000, 0.000, 0.500) [2 per cell]
O (0.000, 0.500, 0.046) [8 per cell]
O (0.000, 0.500, 0.148) [8 per cell]
O (0.000, 0.500, 0.250) [4 per cell]

[24]
This record from the Alexandria database describes crystalline CaSc2SiW at its relaxed geometry. The functional is PBEsol.

E ... -29.94 eV/cell
Density of states at the Fermi level ... 6.245 states/eV/f.u.

abc: 4.964 4.964 5.253
angles: 90.00 90.00 90.00
Space group P4/mmm (No. 123)
One atom of each set of equivalent atoms:
Ca (0.000, 0.000, 0.000) [1 per cell]
Sc (0.000, 0.500, 0.500) [2 per cell]
Si (0.000, 0.000, 0.500) [1 per cell]
W (0.500, 0.500, 0.000) [1 per cell]

[25]
This record from the Alexandria database describes crystalline NaMg3Pt at its relaxed geometry. The functional is PBEsol.

E ... -8.70 eV/cell
Density of states at the Fermi level ... 1.969 states/eV/f.u.

abc: 4.831 4.831 4.831
angles: 90.00 90.00 90.00
Space group Pm-3m (No. 221)
One atom of each set of equivalent atoms:
Na (0.000, 0.000, 0.000) [1 per cell]
Mg (0.000, 0.000, 0.500) [3 per cell]
Pt (0.500, 0.500, 0.500) [1 per cell]

[26]
This record from the Alexandria database describes crystalline LaAs3Rh at its relaxed geometry. The functional is PBEsol.

E ... -30.46 eV/cell
Density of states at the Fermi level ... 5.620 states/eV/f.u.

abc: 4.796 4.796 4.796
angles: 90.00 90.00 90.00
Space group Pm-3m (No. 221)
One atom of each set of equivalent atoms:
La (0.000, 0.000, 0.000) [1 per cell]
As (0.000, 0.500, 0.500) [3 per cell]
Rh (0.500, 0.500, 0.500) [1 per cell]

[27]
This record from the Alexandria database describes crystalline NaErPd6O8 at its relaxed geometry. The functional is PBEsol.

E ... -102.63 eV/cell
Density of states at the Fermi level ... 2.504 states/eV/f.u.

abc: 5.712 5.712 5.712
angles: 90.00 90.00 90.00
Space group Pm-3 (No. 200)
One atom of each set of equivalent atoms:
Na (0.000, 0.000, 0.000) [1 per cell]
Er (0.500, 0.500, 0.500) [1 per cell]
Pd (0.000, 0.250, 0.500) [6 per cell]
O (0.260, 0.260, 0.260) [8 per cell]